A plane-wave DFT calculation with GGA+U was carried out for a geometry-optimized PmHfMoO6 structure.

Cell lengths 4.959, 4.959, 9.987 Å; angles 90.00, 90.00, 90.00 degrees
Each line ends with the local moment (μB).
Fractional coordinates of all 18 atoms:
Pm  0.500  0.500  0.495  0.01
Pm  0.000  0.000  0.995  0.01
Hf  0.500  0.500  0.836  0.03
Hf  0.000  0.000  0.336  0.03
Mo  0.500  0.500  0.165  0.98
Mo  0.000  0.000  0.665  0.98
O  0.176  0.824  0.504  0.01
O  0.824  0.176  0.504  0.01
O  0.324  0.324  0.004  0.01
O  0.676  0.676  0.004  0.01
O  0.223  0.777  0.184  -0.03
O  0.777  0.223  0.184  -0.03
O  0.277  0.277  0.684  -0.03
O  0.723  0.723  0.684  -0.03
O  0.793  0.207  0.814  0.02
O  0.207  0.793  0.814  0.02
O  0.707  0.707  0.314  0.02
O  0.293  0.293  0.314  0.02

Calculated values
N(E_F) in states/eV/f.u.: 0.0
Total DFT energy (no corrections) in hartree per atom: -0.3112
Magnetization in μB/cell: 2.00
SG: No. 102